The following is a PBE calculation of crystalline CeHoAl2Zn2 at its relaxed geometry, from Alexandria via LeMat-Bulk.

Calculated values
V = 21.36 Å³/atom
uncorrected energy = -22.87 eV per cell
formation enthalpy at 0 K = -8.9 kcal/mol of atoms
DOS at the Fermi energy = 7.64 states/eV/cell
total magnetization = 0.97 μB/f.u.

abc: 4.4891 4.4891 7.3424
angles: 90.00 90.00 120.00
Space group P-3m1 (No. 164)
Unique sites:
Ce (0.0000, 0.0000, 0.0000) (multiplicity 1)
Ho (0.0000, 0.0000, 0.5000) (multiplicity 1)
Al (0.3333, 0.6667, 0.2611) (multiplicity 2)
Zn (0.3333, 0.6667, 0.7289) (multiplicity 2)